[1]
# KTcTe2 | Alexandria via LeMat-Bulk | PBE | optimized geometry
# total magnetization	0.000	μB/atom
# D(E_F)	0.475	states/eV per atom
# energy relative to the elements, uncorrected	-132	meV per atom
# DFT total energy	-18.275	eV/cell
# volume	27.00	Å³ per atom
data_KTcTe2
_symmetry_space_group_name_H-M 'P 1'
_symmetry_Int_Tables_number 1
_cell_length_a 9.060
_cell_length_b 9.060
_cell_length_c 3.569
_cell_angle_alpha 78.64
_cell_angle_beta 78.64
_cell_angle_gamma 22.10
loop_
_symmetry_equiv_pos_as_xyz
'x,y,z'
loop_
_atom_site_label
_atom_site_type_symbol
_atom_site_fract_x
_atom_site_fract_y
_atom_site_fract_z
K1 K 0.557 0.557 0.443
Tc1 Tc 0.300 0.300 0.200
Te1 Te 0.916 0.916 0.084
Te2 Te 0.726 0.726 0.774

[2]
# KTcTe2 | Alexandria via LeMat-Bulk | PBE | optimized geometry
# total magnetization	0.032	μB/atom
# D(E_F)	1.112	states/eV per atom
# energy relative to the elements, uncorrected	155	meV per atom
# DFT total energy	-17.126	eV/cell
# volume	28.51	Å³ per atom
data_KTcTe2
_symmetry_space_group_name_H-M 'P 1'
_symmetry_Int_Tables_number 1
_cell_length_a 3.332
_cell_length_b 3.332
_cell_length_c 10.270
_cell_angle_alpha 90.00
_cell_angle_beta 90.00
_cell_angle_gamma 90.00
loop_
_symmetry_equiv_pos_as_xyz
'x,y,z'
loop_
_atom_site_label
_atom_site_type_symbol
_atom_site_fract_x
_atom_site_fract_y
_atom_site_fract_z
Tc1 Tc 0.500 0.500 0.796
K1 K 0.000 0.000 0.524
Te1 Te 0.500 0.500 0.263
Te2 Te 0.000 0.000 0.917

Number 1: polymorph energy (0 for the lowest one) 0.135 eV per atom. Number 2: polymorph energy (0 for the lowest one) 0.422 eV per atom.